Entry 1:
DFT (GGA-PBE) results for a geometry-optimized RbBeNb structure.

Unit cell a=4.482 b=4.482 c=9.845 alpha=90.00 beta=90.00 gamma=90.00
Atoms (fractional coordinates):
1 Rb 0.250 0.250 0.197
2 Rb 0.750 0.750 0.803
3 Be 0.250 0.750 0.500
4 Be 0.750 0.250 0.500
5 Nb 0.250 0.250 0.571
6 Nb 0.750 0.750 0.429

Computed properties:
- E (eV per atom) = -4.019
- formation enthalpy at 0 K (eV per atom) = 0.902

***

Entry 2:
DFT (GGA-PBE) results for a geometry-optimized RbBeNb structure.

Unit cell a=5.090 b=5.090 c=5.467 alpha=90.00 beta=90.00 gamma=120.00
Atoms (fractional coordinates):
1 Rb 0.000 0.000 0.000
2 Rb 0.000 0.000 0.500
3 Be 0.333 0.667 0.134
4 Be 0.667 0.333 0.634
5 Nb 0.333 0.667 0.618
6 Nb 0.667 0.333 0.118

Computed properties:
- E (eV per atom) = -3.296
- formation enthalpy at 0 K (eV per atom) = 1.625

***

Entry 3:
DFT (GGA-PBE) results for a geometry-optimized RbBeNb structure.

Unit cell a=10.749 b=10.749 c=4.468 alpha=90.00 beta=90.00 gamma=155.62
Atoms (fractional coordinates):
1 Rb 0.149 0.851 0.750
2 Rb 0.851 0.149 0.250
3 Be 0.000 0.000 0.000
4 Be 0.000 0.000 0.500
5 Nb 0.475 0.525 0.750
6 Nb 0.525 0.475 0.250

Computed properties:
- E (eV per atom) = -4.249
- formation enthalpy at 0 K (eV per atom) = 0.672

***

Question: Look up the formation enthalpy at 0 K of the third one.
Answer: 0.672 eV per atom

***

Copy entry 2 word for word.
DFT (GGA-PBE) results for a geometry-optimized RbBeNb structure.

Unit cell a=5.090 b=5.090 c=5.467 alpha=90.00 beta=90.00 gamma=120.00
Atoms (fractional coordinates):
1 Rb 0.000 0.000 0.000
2 Rb 0.000 0.000 0.500
3 Be 0.333 0.667 0.134
4 Be 0.667 0.333 0.634
5 Nb 0.333 0.667 0.618
6 Nb 0.667 0.333 0.118

Computed properties:
- E (eV per atom) = -3.296
- formation enthalpy at 0 K (eV per atom) = 1.625

***

Question: What is the formula in the second record?
Answer: RbBeNb

***

Question: formation enthalpy at 0 K of number 2 (RbBeNb)?
Answer: 1.625 eV per atom